# 1
Below is an optimized crystal structure of NdTa3O9, with properties calculated at the PBEsol level.

Unit cell a=5.378 b=7.535 c=8.211 alpha=90.00 beta=92.46 gamma=90.00
Atoms (fractional coordinates):
Nd: 0.966 0.750 0.566
Nd: 0.034 0.250 0.434
Ta: 0.472 0.493 0.698
Ta: 0.528 0.993 0.302
Ta: 0.000 0.500 0.000
Ta: 0.000 0.000 0.000
Ta: 0.472 0.007 0.698
Ta: 0.528 0.507 0.302
O: 0.561 0.750 0.687
O: 0.439 0.250 0.313
O: 0.912 0.750 0.019
O: 0.088 0.250 0.981
O: 0.349 0.250 0.660
O: 0.651 0.750 0.340
O: 0.735 0.039 0.533
O: 0.265 0.539 0.467
O: 0.152 0.558 0.786
O: 0.848 0.058 0.214
O: 0.848 0.442 0.214
O: 0.152 0.942 0.786
O: 0.680 0.049 0.879
O: 0.320 0.549 0.121
O: 0.320 0.951 0.121
O: 0.680 0.451 0.879
O: 0.735 0.461 0.533
O: 0.265 0.961 0.467

Properties
Magnetization   0.00 μB per cell
Energy relative to the lowest polymorph listed for this composition   0.000 eV/atom



# 2
Below is an optimized crystal structure of NdTa7O19, with properties calculated at the PBEsol level.

Unit cell a=6.217 b=6.217 c=19.994 alpha=90.00 beta=90.00 gamma=120.00
Atoms (fractional coordinates):
Nd: 0.000 0.000 0.000
Nd: 0.000 0.000 0.500
Ta: 0.971 0.305 0.344
Ta: 0.334 0.029 0.344
Ta: 0.971 0.305 0.156
Ta: 0.334 0.029 0.156
Ta: 0.695 0.666 0.156
Ta: 0.334 0.305 0.844
Ta: 0.695 0.029 0.844
Ta: 0.695 0.029 0.656
Ta: 0.334 0.305 0.656
Ta: 0.971 0.666 0.844
Ta: 0.667 0.333 0.500
Ta: 0.667 0.333 0.000
Ta: 0.971 0.666 0.656
Ta: 0.695 0.666 0.344
O: 0.000 0.000 0.370
O: 0.000 0.000 0.130
O: 0.000 0.000 0.630
O: 0.000 0.000 0.870
O: 0.667 0.333 0.331
O: 0.667 0.333 0.169
O: 0.667 0.333 0.669
O: 0.667 0.333 0.831
O: 0.957 0.244 0.250
O: 0.287 0.043 0.250
O: 0.756 0.713 0.250
O: 0.756 0.043 0.750
O: 0.287 0.244 0.750
O: 0.957 0.713 0.750
O: 0.384 0.287 0.557
O: 0.902 0.287 0.443
O: 0.085 0.419 0.847
O: 0.581 0.667 0.653
O: 0.333 0.915 0.653
O: 0.333 0.915 0.847
O: 0.581 0.667 0.847
O: 0.333 0.419 0.153
O: 0.581 0.915 0.153
O: 0.085 0.667 0.153
O: 0.581 0.915 0.347
O: 0.085 0.667 0.347
O: 0.085 0.419 0.653
O: 0.333 0.419 0.347
O: 0.902 0.287 0.057
O: 0.713 0.616 0.443
O: 0.384 0.098 0.443
O: 0.384 0.098 0.057
O: 0.713 0.616 0.057
O: 0.384 0.287 0.943
O: 0.713 0.098 0.943
O: 0.902 0.616 0.943
O: 0.713 0.098 0.557
O: 0.902 0.616 0.557

Properties
Magnetization   0.00 μB per cell
VASP energy   -10.09 eV per atom



# 3
Below is an optimized crystal structure of NdTaTiO6, with properties calculated at the PBEsol level.

Unit cell a=5.327 b=7.474 c=10.973 alpha=90.00 beta=90.00 gamma=90.00
Atoms (fractional coordinates):
Nd: 0.456 0.749 0.956
Nd: 0.044 0.749 0.456
Nd: 0.544 0.249 0.044
Nd: 0.956 0.249 0.544
Ta: 0.459 0.506 0.644
Ta: 0.541 0.006 0.356
Ta: 0.959 0.006 0.856
Ta: 0.041 0.506 0.144
Ti: 0.038 0.993 0.141
Ti: 0.962 0.493 0.859
Ti: 0.538 0.493 0.359
Ti: 0.462 0.993 0.641
O: 0.162 0.752 0.121
O: 0.338 0.752 0.621
O: 0.838 0.252 0.879
O: 0.662 0.252 0.379
O: 0.627 0.561 0.792
O: 0.878 0.940 0.288
O: 0.373 0.061 0.208
O: 0.122 0.440 0.712
O: 0.378 0.440 0.212
O: 0.127 0.061 0.708
O: 0.622 0.940 0.788
O: 0.873 0.561 0.292
O: 0.048 0.748 0.856
O: 0.452 0.748 0.356
O: 0.952 0.248 0.144
O: 0.548 0.248 0.644
O: 0.235 0.039 0.972
O: 0.269 0.462 0.475
O: 0.765 0.539 0.028
O: 0.731 0.962 0.525
O: 0.769 0.962 0.025
O: 0.735 0.539 0.528
O: 0.231 0.462 0.975
O: 0.265 0.039 0.472

Properties
Magnetization   0.00 μB per cell
VASP energy   -9.59 eV per atom



# 4
Below is an optimized crystal structure of Nd2Tc2O7, with properties calculated at the PBEsol level.

Unit cell a=7.341 b=7.341 c=7.341 alpha=60.00 beta=60.00 gamma=60.00
Site moments in Bohr magnetons follow the coordinates.
Atoms (fractional coordinates):
Nd: 0.125 0.125 0.125  0.04
Nd: 0.125 0.125 0.625  0.04
Nd: 0.125 0.625 0.125  0.04
Nd: 0.625 0.125 0.125  0.04
Tc: 0.625 0.625 0.625  2.42
Tc: 0.625 0.625 0.125  2.42
Tc: 0.625 0.125 0.625  2.42
Tc: 0.125 0.625 0.625  2.42
O: 0.707 0.707 0.293  0.11
O: 0.293 0.293 0.707  0.11
O: 0.707 0.293 0.707  0.11
O: 0.293 0.707 0.293  0.11
O: 0.707 0.293 0.293  0.11
O: 0.293 0.707 0.707  0.11
O: 0.543 0.543 0.957  0.11
O: 0.957 0.957 0.543  0.11
O: 0.543 0.957 0.543  0.11
O: 0.957 0.543 0.957  0.11
O: 0.543 0.957 0.957  0.11
O: 0.957 0.543 0.543  0.11
O: 0.000 0.000 0.000  0.00
O: 0.250 0.250 0.250  0.00

Properties
Magnetization   11.93 μB per cell
VASP energy   -8.67 eV per atom